Si2HgPt | GGA-PBE | relaxed

```
data_Si2HgPt
_chemical_formula_sum 'Si8 Hg4 Pt4'
_cell_length_a 4.4839
_cell_length_b 4.4839
_cell_length_c 15.4884
_cell_angle_alpha 90.00
_cell_angle_beta 90.00
_cell_angle_gamma 90.00
_symmetry_space_group_name_H-M 'I -4 2 d'
_symmetry_Int_Tables_number 122
_symmetry_space_group_name_Hall 'I -4 2bw'
loop_
_atom_site_label
_atom_site_fract_x
_atom_site_fract_y
_atom_site_fract_z
Si1 0.1895 0.2500 0.1250
Hg1 0.0000 0.0000 0.5000
Pt1 0.0000 0.0000 0.0000
```

Si2HgPt | GGA-PBE | relaxed

```
data_Si2HgPt
_chemical_formula_sum 'Si6 Hg3 Pt3'
_cell_length_a 3.5914
_cell_length_b 3.5914
_cell_length_c 20.7227
_cell_angle_alpha 90.00
_cell_angle_beta 90.00
_cell_angle_gamma 120.00
_symmetry_space_group_name_H-M 'R -3 m'
_symmetry_Int_Tables_number 166
_symmetry_space_group_name_Hall '-R 3 2"'
loop_
_atom_site_label
_atom_site_fract_x
_atom_site_fract_y
_atom_site_fract_z
Si1 0.0000 0.0000 0.2314
Hg1 0.0000 0.0000 0.0000
Pt1 0.0000 0.0000 0.5000
```

SiHgPt | GGA-PBE | relaxed

Output
- ΔE to the lowest computed polymorph (meV per atom) = 0

```
data_SiHgPt
_chemical_formula_sum 'Si1 Hg1 Pt1'
_cell_length_a 3.4401
_cell_length_b 3.4401
_cell_length_c 5.7598
_cell_angle_alpha 90.00
_cell_angle_beta 90.00
_cell_angle_gamma 120.00
_symmetry_space_group_name_H-M 'P 3 m 1'
_symmetry_Int_Tables_number 156
loop_
_symmetry_equiv_pos_as_xyz
'x,y,z'
'-y,x-y,z'
'-x+y,-x,z'
'-y,-x,z'
'-x+y,y,z'
'x,x-y,z'
loop_
_atom_site_label
_atom_site_fract_x
_atom_site_fract_y
_atom_site_fract_z
Si1 0.0000 0.0000 0.0000
Hg1 0.6667 0.3333 0.3937
Pt1 0.3333 0.6667 0.7788
```

SiHg2Pt | GGA-PBE | relaxed

```
data_SiHg2Pt
_chemical_formula_sum 'Si2 Hg4 Pt2'
_cell_length_a 4.1486
_cell_length_b 4.1486
_cell_length_c 8.7274
_cell_angle_alpha 90.00
_cell_angle_beta 90.00
_cell_angle_gamma 90.00
_symmetry_space_group_name_H-M 'I 4/m m m'
_symmetry_Int_Tables_number 139
_symmetry_space_group_name_Hall '-I 4 2'
loop_
_atom_site_label
_atom_site_fract_x
_atom_site_fract_y
_atom_site_fract_z
Si1 0.0000 0.0000 0.0000
Hg1 0.0000 0.5000 0.2500
Pt1 0.0000 0.0000 0.5000
```

Si2HgPt | GGA-PBE | relaxed

```
data_Si2HgPt
_chemical_formula_sum 'Si2 Hg1 Pt1'
_cell_length_a 4.3211
_cell_length_b 4.0781
_cell_length_c 4.8024
_cell_angle_alpha 90.00
_cell_angle_beta 104.75
_cell_angle_gamma 90.00
_symmetry_space_group_name_H-M 'P 1 2/m 1'
_symmetry_Int_Tables_number 10
loop_
_symmetry_equiv_pos_as_xyz
'x,y,z'
'-x,-y,-z'
'-x,y,-z'
'x,-y,z'
loop_
_atom_site_label
_atom_site_fract_x
_atom_site_fract_y
_atom_site_fract_z
Si1 0.0558 0.0000 0.2500
Hg1 0.5000 0.5000 0.0000
Pt1 0.0000 0.5000 0.5000
```

SiHgPt3 | GGA-PBE | relaxed

Output
- ΔE to the lowest computed polymorph (meV per atom) = 0

```
data_SiHgPt3
_chemical_formula_sum 'Si1 Hg1 Pt3'
_cell_length_a 4.5594
_cell_length_b 4.5594
_cell_length_c 4.5594
_cell_angle_alpha 90.00
_cell_angle_beta 90.00
_cell_angle_gamma 90.00
_symmetry_space_group_name_H-M 'P m -3 m'
_symmetry_Int_Tables_number 221
_symmetry_space_group_name_Hall '-P 4 2 3'
loop_
_atom_site_label
_atom_site_fract_x
_atom_site_fract_y
_atom_site_fract_z
Si1 0.0000 0.0000 0.0000
Hg1 0.5000 0.5000 0.5000
Pt1 0.0000 0.0000 0.5000
```

SiHgPt2 | GGA-PBE | relaxed

Output
- ΔE to the lowest computed polymorph (meV per atom) = 300

```
data_SiHgPt2
_chemical_formula_sum 'Si3 Hg3 Pt6'
_cell_length_a 3.1064
_cell_length_b 3.1064
_cell_length_c 25.0154
_cell_angle_alpha 90.00
_cell_angle_beta 90.00
_cell_angle_gamma 120.00
_symmetry_space_group_name_H-M 'R 3 m'
_symmetry_Int_Tables_number 160
_symmetry_space_group_name_Hall 'R 3 -2"'
loop_
_atom_site_label
_atom_site_fract_x
_atom_site_fract_y
_atom_site_fract_z
Si1 0.0000 0.0000 0.0000
Hg1 0.0000 0.0000 0.2414
Pt1 0.0000 0.0000 0.4845
Pt2 0.0000 0.0000 0.7292
```

SiHg2Pt | GGA-PBE | relaxed

```
data_SiHg2Pt
_chemical_formula_sum 'Si2 Hg4 Pt2'
_cell_length_a 4.2872
_cell_length_b 4.2872
_cell_length_c 8.2224
_cell_angle_alpha 90.00
_cell_angle_beta 90.00
_cell_angle_gamma 90.00
_symmetry_space_group_name_H-M 'I -4 m 2'
_symmetry_Int_Tables_number 119
_symmetry_space_group_name_Hall 'I -4 -2'
loop_
_atom_site_label
_atom_site_fract_x
_atom_site_fract_y
_atom_site_fract_z
Si1 0.0000 0.0000 0.0000
Hg1 0.0000 0.0000 0.5000
Hg2 0.0000 0.5000 0.7500
Pt1 0.0000 0.5000 0.2500
```

Si2HgPt | GGA-PBE | relaxed

```
data_Si2HgPt
_chemical_formula_sum 'Si2 Hg1 Pt1'
_cell_length_a 2.9873
_cell_length_b 2.9873
_cell_length_c 7.8266
_cell_angle_alpha 90.00
_cell_angle_beta 90.00
_cell_angle_gamma 90.00
_symmetry_space_group_name_H-M 'P 4 m m'
_symmetry_Int_Tables_number 99
loop_
_symmetry_equiv_pos_as_xyz
'x,y,z'
'-y,x,z'
'-x,-y,z'
'y,-x,z'
'-x,y,z'
'y,x,z'
'x,-y,z'
'-y,-x,z'
loop_
_atom_site_label
_atom_site_fract_x
_atom_site_fract_y
_atom_site_fract_z
Si1 0.0000 0.0000 0.0000
Si2 0.5000 0.5000 0.2127
Hg1 0.0000 0.0000 0.5230
Pt1 0.5000 0.5000 0.8258
```

SiHg2Pt | GGA-PBE | relaxed

```
data_SiHg2Pt
_chemical_formula_sum 'Si2 Hg4 Pt2'
_cell_length_a 5.7351
_cell_length_b 8.7292
_cell_length_c 3.0040
_cell_angle_alpha 90.00
_cell_angle_beta 90.00
_cell_angle_gamma 90.00
_symmetry_space_group_name_H-M 'C m m m'
_symmetry_Int_Tables_number 65
_symmetry_space_group_name_Hall '-C 2 2'
loop_
_atom_site_label
_atom_site_fract_x
_atom_site_fract_y
_atom_site_fract_z
Si1 0.0000 0.0000 0.0000
Hg1 0.2500 0.2500 0.5000
Pt1 0.0000 0.5000 0.0000
```

SiHgPt2 | GGA-PBE | relaxed

Output
- ΔE to the lowest computed polymorph (meV per atom) = 212

```
data_SiHgPt2
_chemical_formula_sum 'Si1 Hg1 Pt2'
_cell_length_a 3.3623
_cell_length_b 3.3623
_cell_length_c 6.2148
_cell_angle_alpha 90.00
_cell_angle_beta 90.00
_cell_angle_gamma 90.00
_symmetry_space_group_name_H-M 'P 4 m m'
_symmetry_Int_Tables_number 99
loop_
_symmetry_equiv_pos_as_xyz
'x,y,z'
'-y,x,z'
'-x,-y,z'
'y,-x,z'
'-x,y,z'
'y,x,z'
'x,-y,z'
'-y,-x,z'
loop_
_atom_site_label
_atom_site_fract_x
_atom_site_fract_y
_atom_site_fract_z
Si1 0.0000 0.0000 0.0000
Hg1 0.5000 0.5000 0.3506
Pt1 0.0000 0.0000 0.6100
Pt2 0.5000 0.5000 0.8848
```

Si2HgPt | GGA-PBE | relaxed

```
data_Si2HgPt
_chemical_formula_sum 'Si4 Hg2 Pt2'
_cell_length_a 4.0933
_cell_length_b 4.0933
_cell_length_c 8.1652
_cell_angle_alpha 90.00
_cell_angle_beta 90.00
_cell_angle_gamma 90.00
_symmetry_space_group_name_H-M 'I -4 m 2'
_symmetry_Int_Tables_number 119
_symmetry_space_group_name_Hall 'I -4 -2'
loop_
_atom_site_label
_atom_site_fract_x
_atom_site_fract_y
_atom_site_fract_z
Si1 0.0000 0.0000 0.0000
Si2 0.0000 0.5000 0.2500
Hg1 0.0000 0.5000 0.7500
Pt1 0.0000 0.0000 0.5000
```

no.,formation energy (no corrections) (eV per atom),size of the total moment (μB per cell),E_tot (eV per cell)
1,0.041,0.0,-68.102
2,-0.026,0.0,-51.878
3,-0.134,0.0,-12.166
4,0.322,0.0,-21.559
5,0.011,0.0,-17.146
6,0.137,0.0,-23.164
7,-0.002,0.0,-53.445
8,0.324,0.0,-21.545
9,0.109,0.0,-16.752
10,0.332,0.0,-21.481
11,-0.090,0.0,-18.168
12,0.386,0.0,-31.286